Density functional theory data (PBE) for a relaxed structure of LaIn2IO8.

ΔE_f (raw), eV per atom: -1.4093
D(E_F), states/eV per atom: 0.114
Total moment, μB/f.u.: 0.00

Geometry as POSCAR:
```
LaIn2IO8
1.0
4.9401 0.0036 -0.0030
0.0379 4.9396 -0.0054
0.0043 0.0076 6.9677
O In I La
8 2 1 1
Cartesian
4.0338 0.9276 1.3894
1.6042 1.5749 3.4812
0.9485 4.0231 5.5699
0.9459 4.0186 1.3879
4.0364 0.9321 5.5714
3.3781 3.3758 3.4782
1.4000 1.3847 6.9653
3.5823 3.5660 -0.0060
2.4922 2.4773 5.2377
2.4901 2.4735 1.7216
0.0000 0.0000 0.0000
0.0021 0.0038 3.4838
```